Density functional theory data (PBE) for a relaxed structure of BeGeSN2.

Unit cell a=3.533 b=3.533 c=6.395 alpha=90.00 beta=90.00 gamma=90.00
Atoms (fractional coordinates):
Ge 0.000 0.000 0.000
S 0.000 0.000 0.500
Be 0.500 0.500 0.500
N 0.000 0.500 0.000
N 0.500 0.000 0.000

Output
energy relative to the lowest polymorph listed for this composition	158.9	meV per atom
E_form (uncorrected)	1.185	eV per atom

***

Density functional theory data (PBE) for a relaxed structure of BeGeSN2.

Unit cell a=3.454 b=3.454 c=5.337 alpha=90.00 beta=90.00 gamma=90.00
Last column: magnetic moment on the atom in μB.
Atoms (fractional coordinates):
Ge 0.500 0.500 0.500  -0.03
S 0.000 0.000 0.500  0.10
N 0.000 0.500 0.000  0.43
N 0.500 0.000 0.000  0.43
Be 0.000 0.000 0.000  -0.01

Output
energy relative to the lowest polymorph listed for this composition	0.0	meV per atom
E_form (uncorrected)	1.026	eV per atom

***

Density functional theory data (PBE) for a relaxed structure of Sc2BeGeN.

Unit cell a=4.549 b=4.549 c=3.394 alpha=90.00 beta=90.00 gamma=90.00
Atoms (fractional coordinates):
Be 0.000 0.000 0.500
Sc 0.000 0.500 0.000
Sc 0.500 0.000 0.000
N 0.000 0.000 0.000
Ge 0.500 0.500 0.500

Output
E_form (uncorrected)	-0.936	eV per atom

***

Density functional theory data (PBE) for a relaxed structure of BeGeSeN2.

Unit cell a=3.565 b=3.565 c=6.860 alpha=90.00 beta=90.00 gamma=90.00
Atoms (fractional coordinates):
N 0.500 0.000 0.000
N 0.000 0.500 0.000
Se 0.000 0.000 0.500
Be 0.500 0.500 0.500
Ge 0.000 0.000 0.000

Output
energy relative to the lowest polymorph listed for this composition	42.7	meV per atom
E_form (uncorrected)	1.156	eV per atom